[1]
Ce2TmCu (PBE, optimized geometry); VASP energy = -4.9579 eV per atom; energy above the most stable polymorph in this dataset = 0.092 eV/atom; Fermi-level density of states = 2.33 states/eV/atom; calculated formation energy = 15 kJ per mole of atoms
1.0
3.4818 0.0000 0.0000
1.7409 3.0153 0.0000
1.7409 1.0051 10.0244
Tm Cu Ce
1 1 2
Cartesian
3.4818 2.0102 5.0122 Tm
0.0000 0.0000 0.0000 Cu
1.7409 1.0051 2.1479 Ce
5.2226 3.0153 7.8765 Ce

---

[2]
CeTm2Cu3 (PBE, optimized geometry); VASP energy = -4.7283 eV per atom; Fermi-level density of states = 1.25 states/eV/atom; calculated formation energy = -19 kJ per mole of atoms
1.0
3.4093 0.0000 0.0000
0.0000 3.4093 0.0000
0.0000 0.0000 10.6145
Ce Tm Cu
1 2 3
Cartesian
1.7046 1.7046 5.3072 Ce
1.7046 1.7046 8.8979 Tm
1.7046 1.7046 1.7165 Tm
0.0000 0.0000 0.0000 Cu
0.0000 0.0000 7.2552 Cu
0.0000 0.0000 3.3593 Cu

---

[3]
Ce2TmCu (PBE, optimized geometry); VASP energy = -5.0498 eV per atom; energy above the most stable polymorph in this dataset = 0.000 eV/atom; Fermi-level density of states = 2.48 states/eV/atom; calculated formation energy = 6 kJ per mole of atoms
1.0
-1.5855 -0.0460 -3.2483
0.5625 -3.5638 -0.2241
-7.0404 -1.3285 3.4552
Tm Cu Ce
1 1 2
Cartesian
-4.0317 -2.4692 -0.0086 Tm
-0.5115 -1.8049 -1.7362 Cu
-5.6658 -1.0692 2.7806 Ce
-1.3746 -0.2594 0.6746 Ce

---

[4]
CeTm2Cu6 (PBE, optimized geometry); VASP energy = -4.6027 eV per atom; Fermi-level density of states = 1.18 states/eV/atom; calculated formation energy = -21 kJ per mole of atoms
1.0
3.4234 0.0917 -0.1455
-0.3275 6.4354 -3.6509
0.3176 -0.0483 7.3982
Ce Tm Cu
1 2 6
Cartesian
0.0000 0.0000 0.0000 Ce
3.5259 2.2046 3.5698 Tm
-0.1124 4.2741 0.0320 Tm
1.7074 2.1904 1.1856 Cu
1.7061 4.2884 2.4162 Cu
1.5962 6.4491 1.1904 Cu
1.8118 4.2720 4.9004 Cu
1.9193 2.1584 6.0995 Cu
1.8174 0.0297 2.4114 Cu

---

[5]
CeTm3Cu4 (PBE, optimized geometry); VASP energy = -4.6820 eV per atom; Fermi-level density of states = 1.02 states/eV/atom; calculated formation energy = -21 kJ per mole of atoms
1.0
4.8779 0.0000 0.0000
0.0000 6.8772 0.0000
0.0000 0.0000 9.7568
Tm Cu Ce
6 8 2
Cartesian
0.0000 0.0000 0.0000 Tm
0.0000 0.0000 4.8784 Tm
2.4402 0.0000 7.3176 Tm
2.4377 0.0000 2.4392 Tm
2.4398 3.4386 7.3176 Tm
2.4381 3.4386 2.4392 Tm
2.4390 5.2213 0.0000 Cu
2.4390 5.2213 4.8784 Cu
2.4390 1.6560 0.0000 Cu
2.4390 1.6560 4.8784 Cu
0.0016 5.2222 7.3176 Cu
4.8763 5.2222 2.4392 Cu
4.8763 1.6550 2.4392 Cu
0.0016 1.6550 7.3176 Cu
0.0000 3.4386 0.0000 Ce
0.0000 3.4386 4.8784 Ce

---

[6]
CeTmCu3 (PBE, optimized geometry); VASP energy = -4.7253 eV per atom; Fermi-level density of states = 1.40 states/eV/atom; calculated formation energy = -18 kJ per mole of atoms
1.0
-3.0430 1.6677 -0.2304
-1.9725 -3.7392 -1.0137
-0.6669 -3.0895 12.6940
Ce Tm Cu
2 2 6
Cartesian
-4.8678 -3.8948 9.8554 Ce
-0.8146 -1.2662 1.5945 Ce
-2.3805 -3.7332 4.4190 Tm
-3.3020 -1.4278 7.0309 Tm
-3.5258 -2.5115 2.1412 Cu
-2.1567 -2.6495 9.3087 Cu
-3.1052 -2.0780 -0.2761 Cu
-2.5773 -3.0830 11.7260 Cu
-2.7783 -0.8880 4.0207 Cu
-2.9042 -4.2730 7.4292 Cu

---

[7]
CeTmCu2 (PBE, optimized geometry); VASP energy = -4.8145 eV per atom; energy above the most stable polymorph in this dataset = 0.000 eV/atom; Fermi-level density of states = 1.72 states/eV/atom; calculated formation energy = -16 kJ per mole of atoms
1.0
4.3934 0.0000 0.0000
0.0000 6.1211 -3.4486
0.0000 -3.5110 8.3934
Ce Tm Cu
2 2 4
Cartesian
3.2950 -0.1253 2.4412 Ce
1.0983 2.7355 2.5036 Ce
3.2950 2.3344 -0.4706 Tm
1.0983 0.2758 5.4154 Tm
3.2950 2.0423 4.5080 Cu
1.0983 0.5679 0.4368 Cu
3.2950 -1.6151 4.9530 Cu
1.0983 4.2252 -0.0082 Cu

---

[8]
CeTmCu10 (PBE, optimized geometry); VASP energy = -4.4327 eV per atom; Fermi-level density of states = 0.99 states/eV/atom; calculated formation energy = -15 kJ per mole of atoms
1.0
4.1095 0.0000 0.0000
0.0000 5.0623 0.0000
0.0000 0.0000 8.6991
Ce Tm Cu
1 1 10
Cartesian
0.0000 2.5312 4.3495 Ce
0.0000 0.0000 0.0000 Tm
0.0000 0.0000 2.8608 Cu
0.0000 2.5312 7.2855 Cu
0.0000 2.5312 1.4136 Cu
0.0000 0.0000 5.8383 Cu
2.0548 0.0000 4.3495 Cu
2.0548 2.5312 0.0000 Cu
2.0548 1.2520 2.1382 Cu
2.0548 3.8103 6.5609 Cu
2.0548 3.8103 2.1382 Cu
2.0548 1.2520 6.5609 Cu

---

[9]
CeTmZnCu (PBE, optimized geometry); VASP energy = -4.1274 eV per atom; Fermi-level density of states = 1.82 states/eV/atom; calculated formation energy = -18 kJ per mole of atoms
1.0
5.0005 0.0000 0.0000
2.5003 4.3306 0.0000
2.5003 1.4435 4.0829
Zn Tm Cu Ce
1 1 1 1
Cartesian
7.5008 4.3306 3.0622 Zn
0.0000 0.0000 0.0000 Tm
2.5003 1.4435 1.0207 Cu
5.0005 2.8871 2.0415 Ce

---

[10]
CeUCu (PBE, optimized geometry); VASP energy = -7.0138 eV per atom; Fermi-level density of states = 1.96 states/eV/atom; calculated formation energy = 9 kJ per mole of atoms
1.0
2.8542 0.0000 0.0000
0.0000 4.8496 0.0000
-1.4271 0.0000 8.3809
Cu Ce U
2 2 2
Cartesian
0.0000 1.2124 7.6769 Cu
1.4271 3.6372 0.7040 Cu
1.4271 3.6372 6.4148 Ce
0.0000 1.2124 1.9660 Ce
1.4271 1.2124 4.9651 U
0.0000 3.6372 3.4158 U

---

[11]
Ce2VCu (PBE, optimized geometry); VASP energy = -5.8597 eV per atom; Fermi-level density of states = 1.89 states/eV/atom; calculated formation energy = 40 kJ per mole of atoms
1.0
-0.8375 -2.6011 -0.9774
0.5286 -2.3805 1.5736
-9.2536 -0.5184 5.0002
Cu Ce V
1 2 1
Cartesian
-4.7813 -2.7500 2.7982 Cu
-6.9672 -0.8038 3.8005 Ce
-2.5953 -4.6962 1.7960 Ce
0.0000 0.0000 0.0000 V

---

[12]
CeYCu10 (PBE, optimized geometry); VASP energy = -4.5959 eV per atom; Fermi-level density of states = 0.99 states/eV/atom; calculated formation energy = -14 kJ per mole of atoms
1.0
4.1084 0.0000 0.0000
0.0000 5.0679 0.0000
0.0000 0.0000 8.7215
Ce Y Cu
1 1 10
Cartesian
0.0000 2.5339 4.3608 Ce
0.0000 0.0000 0.0000 Y
0.0000 0.0000 2.8882 Cu
0.0000 2.5339 7.2895 Cu
0.0000 2.5339 1.4320 Cu
0.0000 0.0000 5.8333 Cu
2.0542 0.0000 4.3608 Cu
2.0542 2.5339 0.0000 Cu
2.0542 1.2585 2.1514 Cu
2.0542 3.8093 6.5702 Cu
2.0542 3.8093 2.1514 Cu
2.0542 1.2585 6.5702 Cu

---

> Which formula does entry 4 have?

CeTm2Cu6